Entry 1:
Cs4RbSn3Cl12: optimized geometry, PBE-GGA.

calculated volume = 36.454 Å³/atom
total DFT energy (no corrections) = -0.2514 Ry per atom
E_form (uncorrected) = -144 kJ/mol of atoms

Structure (POSCAR):
```
Cs4RbSn3Cl12
1.0
-5.670 5.670 5.670
5.670 -5.670 5.670
5.670 5.670 -5.670
Cs Rb Sn Cl
4 1 3 12
direct
0.000 0.000 0.500
0.000 0.500 0.000
0.500 0.000 0.000
0.500 0.500 0.500
0.000 0.000 0.000
0.000 0.500 0.500
0.500 0.000 0.500
0.500 0.500 0.000
0.000 0.267 0.267
0.000 0.733 0.733
0.250 0.500 0.750
0.250 0.750 0.500
0.267 0.000 0.267
0.267 0.267 0.000
0.500 0.250 0.750
0.500 0.750 0.250
0.733 0.000 0.733
0.733 0.733 0.000
0.750 0.250 0.500
0.750 0.500 0.250
```


Entry 2:
Cs2RbSnCl8: optimized geometry, PBE-GGA.

calculated volume = 36.796 Å³/atom
total DFT energy (no corrections) = -0.2333 Ry per atom
E_form (uncorrected) = -134 kJ/mol of atoms

Structure (POSCAR):
```
Cs2RbSnCl8
1.0
6.618 0.000 0.000
0.049 7.358 0.000
2.427 0.009 9.068
Cs Rb Sn Cl
2 1 1 8
direct
0.150 0.001 0.202
0.850 0.999 0.798
0.500 0.500 0.500
0.500 0.500 0.000
0.195 0.502 0.222
0.311 0.065 0.518
0.337 0.735 0.875
0.343 0.261 0.880
0.657 0.739 0.120
0.663 0.265 0.125
0.689 0.935 0.482
0.805 0.498 0.778
```


Entry 3:
CsRb2SnCl: optimized geometry, PBE-GGA.

calculated volume = 63.865 Å³/atom
total DFT energy (no corrections) = -0.1466 Ry per atom
E_form (uncorrected) = -26 kJ/mol of atoms

Structure (POSCAR):
```
CsRb2SnCl
1.0
7.330 0.000 0.000
0.000 7.330 0.000
0.000 0.000 5.944
Cs Rb Sn Cl
1 2 1 1
direct
0.000 0.000 0.000
0.000 0.500 0.500
0.500 0.000 0.500
0.500 0.500 0.500
0.500 0.500 0.000
```


Entry 4:
Cs4Rb3SrCl8: optimized geometry, PBE-GGA.

calculated volume = 41.477 Å³/atom
total DFT energy (no corrections) = -0.2447 Ry per atom
E_form (uncorrected) = -184 kJ/mol of atoms

Structure (POSCAR):
```
Cs4Rb3SrCl8
1.0
8.387 -4.843 0.000
8.387 4.843 0.000
-5.597 0.000 8.169
Cs Rb Sr Cl
4 3 1 8
direct
0.000 0.000 0.000
0.000 0.500 0.000
0.500 0.000 0.000
0.500 0.500 0.000
0.000 0.000 0.500
0.000 0.500 0.500
0.500 0.000 0.500
0.500 0.500 0.500
0.244 0.244 0.733
0.276 0.714 0.705
0.285 0.285 0.295
0.286 0.724 0.295
0.714 0.276 0.705
0.715 0.715 0.705
0.724 0.286 0.295
0.756 0.756 0.267
```